1.
DFT (meta-GGA SCAN) results for a PBEsol-optimized structure of ZrCoRu2.

Output
As for the distance to the lowest polymorph of the same formula: 47 meV per atom. Its space group is I4/mmm (139).

POSCAR file:
```
ZrCoRu2
1.0
3.8482 0.0000 0.0000
0.0000 3.8482 0.0000
-1.9241 -1.9241 3.8298
Co Ru Zr
1 2 1
Cartesian
0.0000 0.0000 0.0000 Co
0.0000 1.9241 1.9149 Ru
1.9241 0.0000 1.9149 Ru
1.9241 1.9241 0.0000 Zr
```

***

2.
DFT (meta-GGA SCAN) results for a PBEsol-optimized structure of Ca4TlRe.

Output
Its space group is F-43m (216).

POSCAR file:
```
Ca4TlRe
1.0
-2.9832 4.1708 -3.1208
-0.9771 -0.7728 -5.8722
-5.5456 -1.1397 -1.9954
Ca Tl Re
4 1 1
Cartesian
-6.3217 0.2855 -5.1221 Ca
-5.0533 2.9143 -5.6792 Ca
-4.0602 0.4671 -7.0412 Ca
-3.5765 0.8497 -4.1343 Ca
0.0000 0.0000 0.0000 Tl
-7.1294 1.6937 -8.2413 Re
```

***

3.
DFT (meta-GGA SCAN) results for a PBEsol-optimized structure of FeCo2Tc.

Output
Its space group is P4mm (99).

POSCAR file:
```
FeCo2Tc
1.0
-2.4857 0.0523 -0.5071
-0.2551 -2.3130 1.0118
-1.2180 2.8756 6.2666
Co Fe Tc
2 1 1
Cartesian
-1.6720 -0.4183 1.8039 Co
-0.0168 0.0396 0.0863 Co
-0.5903 1.3937 3.0373 Fe
-2.2887 1.0377 4.9770 Tc
```

***

4.
DFT (meta-GGA SCAN) results for a PBEsol-optimized structure of Tc2SnGe2.

Output
Its space group is I4/mmm (139).

POSCAR file:
```
Tc2SnGe2
1.0
3.5347 0.0000 0.0000
0.0000 3.5347 0.0000
-1.7674 -1.7674 6.4922
Ge Tc Sn
2 2 1
Cartesian
1.7674 0.0000 3.2461 Ge
0.0000 1.7674 3.2461 Ge
0.0000 0.0000 5.0651 Tc
1.7674 1.7674 1.4271 Tc
0.0000 0.0000 0.0000 Sn
```

***

The calculation returns the following ΔE_f values, one per record and in order: 0.036 1.040 0.108 -0.006 eV per atom.